1.
VASP calculation (GGA-PBE) on crystalline NdYO at its relaxed geometry.

Cell lengths 3.5911, 3.5911, 5.9994 Å; angles 90.00, 90.00, 120.00 degrees
With the nearest neighbours (Å) after each atom.
Space group P3m1 (No. 156)
Asymmetric unit:
Nd (0.0000, 0.0000, 0.0000) (multiplicity 1)  3 O 2.61
Y (0.6667, 0.3333, 0.5372) (multiplicity 1)  3 O 2.39
O (0.3333, 0.6667, 0.7368) (multiplicity 1)  3 Y 2.39, 3 Nd 2.61

Computed properties:
ΔE_f (raw): -1.746 eV per atom
DOS(E_F): 0.532 states/eV per atom



2.
VASP calculation (GGA-PBE) on crystalline HoMnTcC3 at its relaxed geometry.

Cell lengths 6.4645, 3.2561, 7.3535 Å; angles 90.00, 104.08, 90.00 degrees
With the nearest neighbours (Å) after each atom.
Space group P2_1/m (No. 11)
Asymmetric unit:
Ho (0.1852, 0.2500, 0.2059) (multiplicity 2)  5 C 2.44-2.51
Mn (0.1190, 0.2500, 0.6050) (multiplicity 2)  4 C 1.84-1.93
Tc (0.3476, 0.7500, 0.8811) (multiplicity 2)  5 C 2.02-2.18
C (0.1174, 0.2500, 0.8549) (multiplicity 2)  1 Mn 1.84
C (0.1811, 0.7500, 0.5146) (multiplicity 2)  3 Mn 1.84-1.93
C (0.4504, 0.7500, 0.1638) (multiplicity 2)  3 Tc 2.02-2.16

Computed properties:
Formation energy from the elements: 0.65 eV per formula unit
DOS(E_F): 0.638 states/eV per atom



3.
VASP calculation (GGA-PBE) on crystalline GaNiRuCl2 at its relaxed geometry.

Cell lengths 4.4265, 4.4265, 4.9770 Å; angles 90.00, 90.00, 90.00 degrees
With the nearest neighbours (Å) after each atom.
Space group P4/mmm (No. 123)
Asymmetric unit:
Ga (0.0000, 0.0000, 0.0000) (multiplicity 1)  4 Ru 3.13, 8 Cl 3.33
Ni (0.5000, 0.5000, 0.5000) (multiplicity 1)  4 Cl 2.21
Ru (0.5000, 0.5000, 0.0000) (multiplicity 1)  2 Ni 2.49
Cl (0.0000, 0.5000, 0.5000) (multiplicity 2)  2 Ni 2.21

Computed properties:
ΔE_f (raw): 0.476 eV per atom
DOS(E_F): 0.604 states/eV per atom



- Which value of DOS(E_F) does entry 3 give?
  0.604 states/eV per atom



- Which formula does entry 2 have?
  HoMnTcC3



- Which of these has the lowest DOS(E_F)?
  NdYO



- Number 3 is which compound?
  GaNiRuCl2